A relaxed TiRhNO2 crystal, computed with PBE.

Summary:
- Uncorrected energy: -6.800 eV per atom

```
TiRhNO2
1.0
3.879 0.000 0.000
0.000 3.879 0.000
0.000 0.000 3.818
Ti O N Rh
1 2 1 1
Cartesian
1.939 1.939 1.909
1.939 0.000 0.000
0.000 1.939 0.000
0.000 0.000 1.909
0.000 0.000 0.000
```

***

A relaxed AgSb crystal, computed with PBE.

Summary:
- Uncorrected energy: -3.363 eV per atom
- Energy above the lowest structure with this stoichiometry: 45 meV per atom

```
AgSb
1.0
5.640 0.072 0.000
-4.169 3.800 0.000
0.000 0.000 4.270
Sb Ag
2 2
Cartesian
-2.858 3.302 1.068
4.330 0.570 3.203
-0.172 2.282 1.068
1.644 1.591 3.203
```

***

A relaxed Sr6As2I3Br crystal, computed with PBE.

Summary:
- Uncorrected energy: -3.532 eV per atom

```
Sr6As2I3Br
1.0
7.964 0.005 0.005
-3.976 6.900 0.005
-1.325 -2.294 7.788
Sr As I Br
6 2 3 1
Cartesian
-0.145 4.605 6.135
-1.398 2.435 1.664
2.585 4.476 1.632
0.078 0.135 6.167
4.061 2.176 6.135
2.808 0.006 1.664
3.995 2.297 0.005
-0.007 4.608 0.005
5.385 -0.035 3.899
-2.722 4.646 3.899
1.332 2.306 3.899
0.000 0.000 0.000
```

***

A relaxed RbBeH2 crystal, computed with PBE.

Summary:
- Uncorrected energy: -1.843 eV per atom
- Energy above the lowest structure with this stoichiometry: 707 meV per atom

```
RbBeH2
1.0
4.047 -1.874 -0.732
0.348 -4.468 -0.592
1.014 -1.667 -4.077
Be H Rb
1 2 1
Cartesian
0.000 0.000 0.000
4.057 -6.007 -4.051
1.352 -2.002 -1.350
2.705 -4.005 -2.701
```

***

A relaxed K3SbI6 crystal, computed with PBE.

Summary:
- Uncorrected energy: -2.687 eV per atom
- Energy above the lowest structure with this stoichiometry: 0 meV per atom

```
K3SbI6
1.0
-0.596 2.446 8.012
-3.542 -8.084 2.204
11.148 -4.206 2.489
I K Sb
12 6 2
Cartesian
1.736 -7.274 5.490
3.361 -5.856 9.248
5.964 -6.693 5.934
9.459 -3.648 8.375
3.649 -3.988 3.457
-2.450 -6.196 4.330
1.046 -3.151 6.771
5.274 -2.570 7.215
8.288 -3.350 3.157
-0.232 -2.215 2.108
-1.279 -6.494 9.548
7.242 -7.629 10.597
-2.069 -2.819 5.108
2.097 -0.604 4.513
4.912 -9.240 8.192
5.574 -2.103 1.245
6.236 -4.080 10.471
0.774 -5.764 2.234
0.000 0.000 0.000
3.505 -4.922 6.353
```

***

A relaxed V2BiCl8 crystal, computed with PBE.

Summary:
- Uncorrected energy: -4.323 eV per atom

```
V2BiCl8
1.0
-2.153 1.717 6.179
4.251 -5.409 3.821
6.855 3.046 2.379
V Cl Bi
2 8 1
Cartesian
1.555 0.097 3.374
7.398 -0.743 9.004
8.530 -1.409 7.139
7.085 1.553 4.697
5.307 -0.141 8.754
0.422 0.764 5.239
5.477 -3.668 5.588
3.476 3.022 6.790
3.646 -0.505 3.624
1.868 -2.199 7.681
0.000 0.000 0.000
```

***

A relaxed LiInGeRu crystal, computed with PBE.

Summary:
- Uncorrected energy: -4.755 eV per atom

```
LiInGeRu
1.0
-1.221 -3.929 -1.774
-1.622 -3.241 2.635
-4.336 -1.107 -0.221
Ge Ru In Li
1 1 1 1
Cartesian
-1.795 -2.069 0.160
0.000 0.000 0.000
-5.384 -6.207 0.479
-3.589 -4.138 0.320
```

***

A relaxed PmNd7Er2 crystal, computed with PBE.

Summary:
- Uncorrected energy: -4.708 eV per atom
- Energy above the lowest structure with this stoichiometry: 0 meV per atom

```
PmNd7Er2
1.0
6.249 0.316 -0.858
0.967 7.763 -5.631
-1.821 -2.589 9.119
Nd Er Pm
7 2 1
Cartesian
1.270 2.401 2.398
4.125 3.089 0.233
0.724 3.411 -1.084
1.033 -1.927 6.929
4.363 7.417 -4.299
4.672 2.079 3.715
3.608 4.039 -3.244
3.901 -1.291 4.769
1.494 6.781 -2.138
0.000 0.000 0.000
```

***

A relaxed Ca3Ac2Ge2 crystal, computed with PBE.

Summary:
- Uncorrected energy: -3.795 eV per atom

```
Ca3Ac2Ge2
1.0
-3.329 1.818 -2.488
5.204 -1.553 -3.962
-5.129 -7.055 1.707
Ca Ac Ge
3 2 2
Cartesian
-2.964 -2.297 -1.847
-0.290 -4.493 -2.895
-1.664 0.909 -1.244
-3.057 -5.918 -0.234
-0.197 -0.872 -4.508
0.072 -1.726 -1.357
-3.326 -5.064 -3.386
```